[1]
# V2InSe2, optimized geometry, DFT PBE-GGA
# E_form (uncorrected)   -2.1 eV/f.u.
# Mass density   5.89 g cm⁻³
# N(E_F)   0.31 states/eV per atom
data_V2InSe2
_chemical_formula_sum 'V4 In2 Se4'
_symmetry_space_group_name_H-M 'I 4/m m m'
_symmetry_Int_Tables_number 139
_symmetry_space_group_name_Hall '-I 4 2'
_cell_length_a 3.639
_cell_length_b 3.639
_cell_length_c 15.938
_cell_angle_alpha 90.00
_cell_angle_beta 90.00
_cell_angle_gamma 90.00
loop_
_atom_site_label
_atom_site_type_symbol
_atom_site_fract_x
_atom_site_fract_y
_atom_site_fract_z
V1 V 0.000 0.500 0.250
In1 In 0.000 0.000 0.000
Se1 Se 0.000 0.000 0.359


[2]
# VIn3Se, optimized geometry, DFT PBE-GGA
# E_form (uncorrected)   4.2 eV/f.u.
# Mass density   4.86 g cm⁻³
# N(E_F)   1.46 states/eV per atom
data_VIn3Se
_chemical_formula_sum 'V1 In3 Se1'
_symmetry_space_group_name_H-M 'P m -3 m'
_symmetry_Int_Tables_number 221
_symmetry_space_group_name_Hall '-P 4 2 3'
_cell_length_a 5.453
_cell_length_b 5.453
_cell_length_c 5.453
_cell_angle_alpha 90.00
_cell_angle_beta 90.00
_cell_angle_gamma 90.00
loop_
_atom_site_label
_atom_site_type_symbol
_atom_site_fract_x
_atom_site_fract_y
_atom_site_fract_z
V1 V 0.000 0.000 0.000
In1 In 0.000 0.500 0.500
Se1 Se 0.500 0.500 0.500


[3]
# VInSe2, optimized geometry, DFT PBE-GGA
# E_form (uncorrected)   -0.1 eV/f.u.
# Mass density   6.61 g cm⁻³
# N(E_F)   0.62 states/eV per atom
data_VInSe2
_chemical_formula_sum 'V4 In4 Se8'
_symmetry_space_group_name_H-M 'F m -3 m'
_symmetry_Int_Tables_number 225
_symmetry_space_group_name_Hall '-F 4 2 3'
_cell_length_a 6.877
_cell_length_b 6.877
_cell_length_c 6.877
_cell_angle_alpha 90.00
_cell_angle_beta 90.00
_cell_angle_gamma 90.00
loop_
_atom_site_label
_atom_site_type_symbol
_atom_site_fract_x
_atom_site_fract_y
_atom_site_fract_z
V1 V 0.000 0.000 0.000
In1 In 0.000 0.000 0.500
Se1 Se 0.250 0.250 0.250


[4]
# InWSe2, optimized geometry, DFT PBE-GGA
# E_form (uncorrected)   0.7 eV/f.u.
# Mass density   8.83 g cm⁻³
# N(E_F)   0.53 states/eV per atom
data_InWSe2
_chemical_formula_sum 'In1 W1 Se2'
_symmetry_space_group_name_H-M 'P 4 m m'
_symmetry_Int_Tables_number 99
_cell_length_a 3.113
_cell_length_b 3.113
_cell_length_c 8.864
_cell_angle_alpha 90.00
_cell_angle_beta 90.00
_cell_angle_gamma 90.00
loop_
_symmetry_equiv_pos_as_xyz
'x,y,z'
'-y,x,z'
'-x,-y,z'
'y,-x,z'
'-x,y,z'
'y,x,z'
'x,-y,z'
'-y,-x,z'
loop_
_atom_site_label
_atom_site_type_symbol
_atom_site_fract_x
_atom_site_fract_y
_atom_site_fract_z
In1 In 0.000 0.000 0.000
W1 W 0.500 0.500 0.766
Se1 Se 0.000 0.000 0.608
Se2 Se 0.500 0.500 0.239


[5]
# InWSe2, optimized geometry, DFT PBE-GGA
# E_form (uncorrected)   -0.8 eV/f.u.
# Mass density   8.18 g cm⁻³
# N(E_F)   0.86 states/eV per atom
data_InWSe2
_chemical_formula_sum 'In3 W3 Se6'
_symmetry_space_group_name_H-M 'R -3 m'
_symmetry_Int_Tables_number 166
_symmetry_space_group_name_Hall '-R 3 2"'
_cell_length_a 3.3071
_cell_length_b 3.3071
_cell_length_c 29.3568
_cell_angle_alpha 90.00
_cell_angle_beta 90.00
_cell_angle_gamma 120.00
loop_
_atom_site_label
_atom_site_type_symbol
_atom_site_fract_x
_atom_site_fract_y
_atom_site_fract_z
In1 In 0.0000 0.0000 0.0000
W1 W 0.0000 0.0000 0.5000
Se1 Se 0.0000 0.0000 0.1080


[6]
# InWSe2, optimized geometry, DFT PBE-GGA
# E_form (uncorrected)   1.2 eV/f.u.
# Mass density   8.50 g cm⁻³
# N(E_F)   0.70 states/eV per atom
data_InWSe2
_chemical_formula_sum 'In2 W2 Se4'
_symmetry_space_group_name_H-M 'C m m m'
_symmetry_Int_Tables_number 65
_symmetry_space_group_name_Hall '-C 2 2'
_cell_length_a 3.244
_cell_length_b 5.540
_cell_length_c 9.925
_cell_angle_alpha 90.00
_cell_angle_beta 90.00
_cell_angle_gamma 90.00
loop_
_atom_site_label
_atom_site_type_symbol
_atom_site_fract_x
_atom_site_fract_y
_atom_site_fract_z
In1 In 0.000 0.000 0.000
W1 W 0.000 0.000 0.500
Se1 Se 0.000 0.500 0.303


[7]
# InWSe2, optimized geometry, DFT PBE-GGA
# E_form (uncorrected)   2.6 eV/f.u.
# Mass density   8.07 g cm⁻³
# N(E_F)   0.76 states/eV per atom
data_InWSe2
_chemical_formula_sum 'In3 W3 Se6'
_symmetry_space_group_name_H-M 'R -3 m'
_symmetry_Int_Tables_number 166
_symmetry_space_group_name_Hall '-R 3 2"'
_cell_length_a 3.5910
_cell_length_b 3.5910
_cell_length_c 25.2381
_cell_angle_alpha 90.00
_cell_angle_beta 90.00
_cell_angle_gamma 120.00
loop_
_atom_site_label
_atom_site_type_symbol
_atom_site_fract_x
_atom_site_fract_y
_atom_site_fract_z
In1 In 0.0000 0.0000 0.0000
W1 W 0.0000 0.0000 0.5000
Se1 Se 0.0000 0.0000 0.4049


[8]
# InWSe2, optimized geometry, DFT PBE-GGA
# E_form (uncorrected)   2.0 eV/f.u.
# Mass density   9.25 g cm⁻³
# N(E_F)   0.79 states/eV per atom
data_InWSe2
_chemical_formula_sum 'In1 W1 Se2'
_symmetry_space_group_name_H-M 'P 1 2/m 1'
_symmetry_Int_Tables_number 10
_cell_length_a 4.464
_cell_length_b 3.380
_cell_length_c 5.430
_cell_angle_alpha 90.00
_cell_angle_beta 90.53
_cell_angle_gamma 90.00
loop_
_symmetry_equiv_pos_as_xyz
'x,y,z'
'-x,-y,-z'
'-x,y,-z'
'x,-y,z'
loop_
_atom_site_label
_atom_site_type_symbol
_atom_site_fract_x
_atom_site_fract_y
_atom_site_fract_z
In1 In 0.000 0.000 0.000
W1 W 0.500 0.500 0.500
Se1 Se 0.000 0.000 0.500
Se2 Se 0.500 0.500 0.000


[9]
# InWSe2, optimized geometry, DFT PBE-GGA
# E_form (uncorrected)   2.5 eV/f.u.
# Mass density   9.98 g cm⁻³
# N(E_F)   0.99 states/eV per atom
data_InWSe2
_chemical_formula_sum 'In1 W1 Se2'
_symmetry_space_group_name_H-M 'P 4/m m m'
_symmetry_Int_Tables_number 123
_symmetry_space_group_name_Hall '-P 4 2'
_cell_length_a 4.836
_cell_length_b 4.836
_cell_length_c 3.249
_cell_angle_alpha 90.00
_cell_angle_beta 90.00
_cell_angle_gamma 90.00
loop_
_atom_site_label
_atom_site_type_symbol
_atom_site_fract_x
_atom_site_fract_y
_atom_site_fract_z
In1 In 0.000 0.000 0.000
W1 W 0.500 0.500 0.000
Se1 Se 0.000 0.500 0.500


[10]
# InWSe2, optimized geometry, DFT PBE-GGA
# E_form (uncorrected)   -0.3 eV/f.u.
# Mass density   8.56 g cm⁻³
# N(E_F)   0.38 states/eV per atom
data_InWSe2
_chemical_formula_sum 'In1 W1 Se2'
_symmetry_space_group_name_H-M 'P 4/m m m'
_symmetry_Int_Tables_number 123
_symmetry_space_group_name_Hall '-P 4 2'
_cell_length_a 3.113
_cell_length_b 3.113
_cell_length_c 9.133
_cell_angle_alpha 90.00
_cell_angle_beta 90.00
_cell_angle_gamma 90.00
loop_
_atom_site_label
_atom_site_type_symbol
_atom_site_fract_x
_atom_site_fract_y
_atom_site_fract_z
In1 In 0.000 0.000 0.000
W1 W 0.000 0.000 0.500
Se1 Se 0.500 0.500 0.331


[11]
# InWSe2, optimized geometry, DFT PBE-GGA
# E_form (uncorrected)   -0.7 eV/f.u.
# Mass density   8.53 g cm⁻³
# N(E_F)   0.95 states/eV per atom
data_InWSe2
_chemical_formula_sum 'In3 W3 Se6'
_symmetry_space_group_name_H-M 'R -3 m'
_symmetry_Int_Tables_number 166
_symmetry_space_group_name_Hall '-R 3 2"'
_cell_length_a 3.3062
_cell_length_b 3.3062
_cell_length_c 28.1624
_cell_angle_alpha 90.00
_cell_angle_beta 90.00
_cell_angle_gamma 120.00
loop_
_atom_site_label
_atom_site_type_symbol
_atom_site_fract_x
_atom_site_fract_y
_atom_site_fract_z
In1 In 0.0000 0.0000 0.0000
W1 W 0.0000 0.0000 0.5000
Se1 Se 0.0000 0.0000 0.2282


[12]
# InWSe2, optimized geometry, DFT PBE-GGA
# E_form (uncorrected)   0.8 eV/f.u.
# Mass density   8.23 g cm⁻³
# N(E_F)   0.65 states/eV per atom
data_InWSe2
_chemical_formula_sum 'In1 W1 Se2'
_symmetry_space_group_name_H-M 'P m m m'
_symmetry_Int_Tables_number 47
_cell_length_a 3.350
_cell_length_b 3.353
_cell_length_c 8.200
_cell_angle_alpha 90.00
_cell_angle_beta 90.00
_cell_angle_gamma 90.00
loop_
_symmetry_equiv_pos_as_xyz
'x,y,z'
'-x,-y,-z'
'-x,-y,z'
'x,y,-z'
'x,-y,-z'
'-x,y,z'
'-x,y,-z'
'x,-y,z'
loop_
_atom_site_label
_atom_site_type_symbol
_atom_site_fract_x
_atom_site_fract_y
_atom_site_fract_z
In1 In 0.000 0.000 0.000
W1 W 0.500 0.000 0.500
Se1 Se 0.500 0.500 0.274